(1)
Below is an optimized crystal structure of LiCa2Zn3Si4, with properties calculated at the PBE level.

a = 4.1250 Å, b = 4.1250 Å, c = 10.7445 Å
α = 90.00°, β = 90.00°, γ = 90.00°
Space group P-4m2 (No. 115)
Symmetry-distinct sites (fractional):
Li  0.0000  0.0000  0.0000 x1
Ca  0.0000  0.5000  0.7562 x2
Zn  0.0000  0.5000  0.3596 x2
Zn  0.5000  0.5000  0.0000 x1
Si  0.0000  0.0000  0.5000 x1
Si  0.0000  0.5000  0.1370 x2
Si  0.5000  0.5000  0.5000 x1

Calculated values
The calculation puts the magnetization at 0.000 μB/cell. The calculation puts the uncorrected formation energy at -0.27 eV/atom. The value obtained for the total energy is -0.126 hartree per atom. Its crystal system is tetragonal.


(2)
Below is an optimized crystal structure of Tm3Si4Pd2, with properties calculated at the PBE level.

a = 10.2527 Å, b = 4.2142 Å, c = 8.1170 Å
α = 90.00°, β = 107.98°, γ = 90.00°
Space group C2/m (No. 12)
Symmetry-distinct sites (fractional):
Tm  0.0000  0.0000  0.0000 x2
Tm  0.1342  0.5000  0.6910 x4
Si  0.0841  0.0000  0.4182 x4
Si  0.2241  0.5000  0.0614 x4
Pd  0.1622  0.5000  0.3260 x4

Calculated values
The calculation puts the magnetization at 0.000 μB/cell. The calculation puts the uncorrected formation energy at -0.88 eV/atom. The value obtained for the total energy is -0.218 hartree per atom. Its crystal system is monoclinic.


(3)
Below is an optimized crystal structure of ScHg, with properties calculated at the PBE level.

a = 5.0472 Å, b = 5.0472 Å, c = 8.5099 Å
α = 90.00°, β = 90.00°, γ = 120.00°
Space group P6_3/mmc (No. 194)
Symmetry-distinct sites (fractional):
Sc  0.0000  0.0000  0.2500 x2
Sc  0.3333  0.6667  0.2500 x2
Hg  0.3333  0.6667  0.5820 x4

Calculated values
The calculation puts the magnetization at 3.121 μB/cell. The value obtained for the total energy is -0.119 hartree per atom. Its crystal system is hexagonal. The value obtained for the energy relative to the elements is 0.08 eV per atom.


(4)
Below is an optimized crystal structure of ErMgScOs, with properties calculated at the PBE level.

a = 3.3447 Å, b = 3.3447 Å, c = 7.7967 Å
α = 90.00°, β = 90.00°, γ = 90.00°
Space group P4mm (No. 99)
Symmetry-distinct sites (fractional):
Er  0.0000  0.0000  0.0000 x1
Mg  0.5000  0.5000  0.3168 x1
Sc  0.0000  0.0000  0.5957 x1
Os  0.5000  0.5000  0.7822 x1

Calculated values
The calculation puts the magnetization at 0.000 μB/cell. The calculation puts the energy above the most stable polymorph in this dataset at 0 meV per atom. The value obtained for the total energy is -0.228 hartree per atom. Its crystal system is tetragonal. The value obtained for the energy relative to the elements is -0.28 eV per atom.


(5)
Below is an optimized crystal structure of SiRh2Cl, with properties calculated at the PBE level.

a = 3.3418 Å, b = 3.3418 Å, c = 6.1086 Å
α = 90.00°, β = 90.00°, γ = 90.00°
Space group P4mm (No. 99)
Symmetry-distinct sites (fractional):
Si  0.0000  0.0000  0.0000 x1
Rh  0.0000  0.0000  0.6382 x1
Rh  0.5000  0.5000  0.9662 x1
Cl  0.5000  0.5000  0.4150 x1

Calculated values
The calculation puts the magnetization at 0.772 μB/cell. The calculation puts the uncorrected formation energy at 0.01 eV/atom. The calculation puts the energy above the most stable polymorph in this dataset at 452 meV per atom. The value obtained for the total energy is -0.202 hartree per atom. Its crystal system is tetragonal.


(6)
Below is an optimized crystal structure of MgCoMoIr, with properties calculated at the PBE level.

a = 6.1443 Å, b = 6.1443 Å, c = 6.1443 Å
α = 90.00°, β = 90.00°, γ = 90.00°
Space group F-43m (No. 216)
Symmetry-distinct sites (fractional):
Mg  0.0000  0.0000  0.0000 x4
Co  0.2500  0.2500  0.2500 x4
Mo  0.0000  0.0000  0.5000 x4
Ir  0.2500  0.2500  0.7500 x4

Calculated values
The calculation puts the magnetization at 7.761 μB/cell. The value obtained for the total energy is -0.264 hartree per atom. Its crystal system is cubic. The value obtained for the energy relative to the elements is -0.08 eV per atom.


(7)
Below is an optimized crystal structure of MnBeCd4, with properties calculated at the PBE level.

a = 7.8901 Å, b = 7.8901 Å, c = 7.8901 Å
α = 90.00°, β = 90.00°, γ = 90.00°
Space group F-43m (No. 216)
Symmetry-distinct sites (fractional):
Mn  0.0000  0.0000  0.0000 x4
Be  0.2500  0.2500  0.7500 x4
Cd  0.1251  0.1251  0.3749 x16

Calculated values
The calculation puts the magnetization at 16.033 μB/cell. The value obtained for the total energy is -0.079 hartree per atom. Its crystal system is cubic. The value obtained for the energy relative to the elements is 0.62 eV per atom.


(8)
Below is an optimized crystal structure of Li2Cd7Hg2, with properties calculated at the PBE level.

a = 8.2358 Å, b = 9.2421 Å, c = 6.8902 Å
α = 90.00°, β = 108.59°, γ = 90.00°
Space group C2/m (No. 12)
Symmetry-distinct sites (fractional):
Li  0.2205  0.0000  0.4844 x4
Cd  0.0000  0.0000  0.0000 x2
Cd  0.0932  0.5000  0.8193 x4
Cd  0.1751  0.2764  0.1731 x8
Hg  0.0000  0.2361  0.5000 x4

Calculated values
The calculation puts the magnetization at 0.000 μB/cell. The calculation puts the energy above the most stable polymorph in this dataset at 0 meV per atom. The value obtained for the total energy is -0.039 hartree per atom. Its crystal system is monoclinic. The value obtained for the energy relative to the elements is -0.09 eV per atom.


(9)
Below is an optimized crystal structure of KCrTe2, with properties calculated at the PBE level.

a = 3.8083 Å, b = 3.9007 Å, c = 8.8923 Å
α = 90.00°, β = 90.00°, γ = 90.00°
Space group Pmm2 (No. 25)
Symmetry-distinct sites (fractional):
K  0.0000  0.0000  0.0000 x1
Cr  0.5000  0.5000  0.4691 x1
Te  0.0000  0.0000  0.3880 x1
Te  0.5000  0.5000  0.7652 x1

Calculated values
The calculation puts the magnetization at 3.390 μB/cell. The calculation puts the uncorrected formation energy at -0.24 eV/atom. The value obtained for the total energy is -0.165 hartree per atom. Its crystal system is orthorhombic.


(10)
Below is an optimized crystal structure of HfGe3Rh2, with properties calculated at the PBE level.

a = 3.8235 Å, b = 9.8514 Å, c = 5.4443 Å
α = 90.00°, β = 90.00°, γ = 90.00°
Space group Pmc2_1 (No. 26)
Symmetry-distinct sites (fractional):
Hf  0.0000  0.1144  0.0000 x2
Ge  0.0000  0.4064  0.8339 x2
Ge  0.5000  0.0761  0.6017 x2
Ge  0.5000  0.2913  0.2023 x2
Rh  0.0000  0.2205  0.5156 x2
Rh  0.5000  0.4635  0.5290 x2

Calculated values
The calculation puts the magnetization at 0.000 μB/cell. The value obtained for the total energy is -0.254 hartree per atom. Its crystal system is orthorhombic. The value obtained for the energy relative to the elements is -0.49 eV per atom.


(11)
Below is an optimized crystal structure of Cs4PmTh3Te8, with properties calculated at the PBE level.

a = 9.1083 Å, b = 9.1083 Å, c = 27.3385 Å
α = 90.00°, β = 90.00°, γ = 120.00°
Space group R-3m (No. 166, hexagonal axes)
Symmetry-distinct sites (fractional):
Cs  0.0000  0.0000  0.0000 x3
Cs  0.0000  0.5000  0.0000 x9
Pm  0.0000  0.0000  0.5000 x3
Th  0.0000  0.5000  0.5000 x9
Te  0.0000  0.0000  0.2334 x6
Te  0.0013  0.5006  0.7670 x18

Calculated values
The calculation puts the magnetization at 0.002 μB/cell. The calculation puts the uncorrected formation energy at -1.23 eV/atom. The value obtained for the total energy is -0.173 hartree per atom. Its crystal system is trigonal.


(12)
Below is an optimized crystal structure of CeSmHo2Tm4, with properties calculated at the PBE level.

a = 4.9887 Å, b = 5.0047 Å, c = 9.8707 Å
α = 90.00°, β = 90.01°, γ = 90.00°
Space group P2/m (No. 10)
Symmetry-distinct sites (fractional):
Ce  0.0000  0.0000  0.0000 x1
Sm  0.5000  0.5000  0.5000 x1
Ho  0.0000  0.0000  0.5000 x1
Ho  0.5000  0.5000  0.0000 x1
Tm  0.0011  0.5000  0.7526 x2
Tm  0.4985  0.0000  0.7524 x2

Calculated values
The calculation puts the magnetization at 0.932 μB/cell. The value obtained for the total energy is -0.171 hartree per atom. Its crystal system is monoclinic. The value obtained for the energy relative to the elements is 0.05 eV per atom.